Here is a relaxed Sr2In5Ir4 crystal from Alexandria. Energies are from PBE.

Unit cell a=7.3580 b=7.3580 c=8.2973 alpha=118.49 beta=118.49 gamma=50.07
Last column: nearest neighbours and their distance in Å.
Fractional positions:
1 Sr 0.2348 0.2348 0.1279  3 Ir 3.19-3.45
2 Sr 0.7652 0.7652 0.8721  3 Ir 3.19-3.45
3 In 0.1477 0.6575 0.6071  4 Ir 2.67-2.96
4 In 0.3425 0.8523 0.3929  4 Ir 2.67-2.96
5 In 0.5000 0.5000 0.0000  2 Ir 2.57
6 In 0.6575 0.1477 0.6071  4 Ir 2.67-2.96
7 In 0.8523 0.3425 0.3929  4 Ir 2.67-2.96
8 Ir 0.0913 0.0913 0.6760  2 Ir 2.45-2.64, 2 In 2.73
9 Ir 0.2869 0.2869 0.7145  1 Ir 2.45, 3 In 2.57-2.67
10 Ir 0.7131 0.7131 0.2855  1 Ir 2.45, 3 In 2.57-2.67
11 Ir 0.9087 0.9087 0.3240  2 Ir 2.45-2.64, 2 In 2.73

Output
DFT formation energy in meV per atom: -124

=====

Here is a relaxed KIr3 crystal from Alexandria. Energies are from PBE.

Unit cell a=10.2842 b=10.2842 c=10.2842 alpha=15.56 beta=15.56 gamma=15.56
Last column: nearest neighbours and their distance in Å.
Fractional positions:
1 K 0.0000 0.0000 0.0000  6 K 2.78
2 Ir 0.2383 0.2383 0.2383  9 Ir 2.71-2.78
3 Ir 0.5000 0.5000 0.5000  12 Ir 2.71-2.78
4 Ir 0.7617 0.7617 0.7617  9 Ir 2.71-2.78

Output
DFT formation energy in meV per atom: 563

=====

Here is a relaxed CrGeW2N crystal from Alexandria. Energies are from PBE.

Unit cell a=4.1196 b=4.1196 c=3.8960 alpha=90.00 beta=90.00 gamma=90.00
Last column: nearest neighbours and their distance in Å.
Fractional positions:
1 Cr 0.0000 0.0000 0.0000  2 N 1.95
2 Ge 0.5000 0.5000 0.0000  8 W 2.84, 4 Cr 2.91
3 W 0.0000 0.5000 0.5000  2 N 2.06
4 W 0.5000 0.0000 0.5000  2 N 2.06
5 N 0.0000 0.0000 0.5000  2 Cr 1.95, 4 W 2.06

Output
Energy relative to the elements, uncorrected in kJ/mol of formula units: 37

=====

Here is a relaxed KBeGa2Ir crystal from Alexandria. Energies are from PBE.

Unit cell a=4.8261 b=4.8261 c=4.5742 alpha=90.00 beta=90.00 gamma=90.00
Last column: nearest neighbours and their distance in Å.
Fractional positions:
1 K 0.0000 0.0000 0.0000  8 Ga 3.32, 4 Be 3.41
2 Be 0.5000 0.5000 0.0000  2 Ir 2.29
3 Ga 0.0000 0.5000 0.5000  2 Ir 2.41
4 Ga 0.5000 0.0000 0.5000  2 Ir 2.41
5 Ir 0.5000 0.5000 0.5000  2 Be 2.29, 4 Ga 2.41

Output
DFT formation energy in meV per atom: -211

=====

no.,D(E_F) (states/eV/cell),total magnetic moment (μB per formula unit)
1,6.281,0.0
2,5.981,0.0
3,3.233,1.1
4,0.641,0.0